(1)
Computed, not measured: a relaxed Sm2Th crystal at the GGA-PBE level of DFT.

```
data_Sm2Th
_chemical_formula_sum 'Sm4 Th2'
_symmetry_space_group_name_H-M 'P 1'
_symmetry_Int_Tables_number 1
_cell_length_a 9.4955
_cell_length_b 9.4955
_cell_length_c 9.4955
_cell_angle_alpha 60.00
_cell_angle_beta 60.00
_cell_angle_gamma 60.00
loop_
_symmetry_equiv_pos_as_xyz
'x,y,z'
loop_
_atom_site_label
_atom_site_type_symbol
_atom_site_fract_x
_atom_site_fract_y
_atom_site_fract_z
Sm1 Sm 0.3750 0.3750 0.3750
Sm2 Sm 0.8750 0.3750 0.3750
Sm3 Sm 0.3750 0.8750 0.3750
Sm4 Sm 0.3750 0.3750 0.8750
Th1 Th 0.2500 0.2500 0.2500
Th2 Th 0.5000 0.5000 0.5000
```

Calculated values
- Calculated volume: 100.900 Å³/atom
- DFT formation energy: 2.9210 eV/atom
- Energy: -2.6907 eV/atom

=====

(2)
Computed, not measured: a relaxed SmTh crystal at the GGA-PBE level of DFT.

```
data_SmTh
_chemical_formula_sum 'Sm1 Th1'
_symmetry_space_group_name_H-M 'P 1'
_symmetry_Int_Tables_number 1
_cell_length_a 4.8128
_cell_length_b 4.8128
_cell_length_c 4.8128
_cell_angle_alpha 60.00
_cell_angle_beta 60.00
_cell_angle_gamma 60.00
loop_
_symmetry_equiv_pos_as_xyz
'x,y,z'
loop_
_atom_site_label
_atom_site_type_symbol
_atom_site_fract_x
_atom_site_fract_y
_atom_site_fract_z
Sm1 Sm 0.0000 0.0000 0.0000
Th1 Th 0.2500 0.2500 0.2500
```

Calculated values
- Distance to the lowest polymorph of the same formula: 1.836 eV per atom
- Calculated volume: 39.414 Å³/atom
- DFT formation energy: 1.8953 eV/atom
- Energy: -4.1667 eV/atom

=====

(3)
Computed, not measured: a relaxed SmTh crystal at the GGA-PBE level of DFT.

```
data_SmTh
_chemical_formula_sum 'Sm1 Th1'
_symmetry_space_group_name_H-M 'P 1'
_symmetry_Int_Tables_number 1
_cell_length_a 4.6220
_cell_length_b 4.6220
_cell_length_c 4.6220
_cell_angle_alpha 60.00
_cell_angle_beta 60.00
_cell_angle_gamma 60.00
loop_
_symmetry_equiv_pos_as_xyz
'x,y,z'
loop_
_atom_site_label
_atom_site_type_symbol
_atom_site_fract_x
_atom_site_fract_y
_atom_site_fract_z
Sm1 Sm 0.0000 0.0000 0.0000
Th1 Th 0.5000 0.5000 0.5000
```

Calculated values
- Distance to the lowest polymorph of the same formula: 0.824 eV per atom
- Calculated volume: 34.909 Å³/atom
- DFT formation energy: 0.8826 eV/atom
- Energy: -5.1795 eV/atom

=====

(4)
Computed, not measured: a relaxed SmTh2 crystal at the GGA-PBE level of DFT.

```
data_SmTh2
_chemical_formula_sum 'Sm2 Th4'
_symmetry_space_group_name_H-M 'P 1'
_symmetry_Int_Tables_number 1
_cell_length_a 8.8804
_cell_length_b 8.8804
_cell_length_c 8.8804
_cell_angle_alpha 60.00
_cell_angle_beta 60.00
_cell_angle_gamma 60.00
loop_
_symmetry_equiv_pos_as_xyz
'x,y,z'
loop_
_atom_site_label
_atom_site_type_symbol
_atom_site_fract_x
_atom_site_fract_y
_atom_site_fract_z
Sm1 Sm 0.2500 0.2500 0.2500
Sm2 Sm 0.5000 0.5000 0.5000
Th1 Th 0.3750 0.3750 0.3750
Th2 Th 0.8750 0.3750 0.3750
Th3 Th 0.3750 0.8750 0.3750
Th4 Th 0.3750 0.3750 0.8750
```

Calculated values
- Calculated volume: 82.532 Å³/atom
- DFT formation energy: 2.5799 eV/atom
- Energy: -3.9325 eV/atom

=====

(5)
Computed, not measured: a relaxed SmThTl crystal at the GGA-PBE level of DFT.

```
data_SmThTl
_chemical_formula_sum 'Sm1 Th1 Tl1'
_symmetry_space_group_name_H-M 'P 1'
_symmetry_Int_Tables_number 1
_cell_length_a 5.2771
_cell_length_b 5.2771
_cell_length_c 5.2771
_cell_angle_alpha 60.00
_cell_angle_beta 60.00
_cell_angle_gamma 60.00
loop_
_symmetry_equiv_pos_as_xyz
'x,y,z'
loop_
_atom_site_label
_atom_site_type_symbol
_atom_site_fract_x
_atom_site_fract_y
_atom_site_fract_z
Sm1 Sm 0.2500 0.2500 0.2500
Th1 Th 0.7500 0.7500 0.7500
Tl1 Tl 0.0000 0.0000 0.0000
```

Calculated values
- Distance to the lowest polymorph of the same formula: 0.000 eV per atom
- Calculated volume: 34.637 Å³/atom
- Energy: -4.6787 eV/atom

=====

(6)
Computed, not measured: a relaxed SmTmTh crystal at the GGA-PBE level of DFT.

```
data_SmTmTh
_chemical_formula_sum 'Sm1 Tm1 Th1'
_symmetry_space_group_name_H-M 'P 1'
_symmetry_Int_Tables_number 1
_cell_length_a 5.4018
_cell_length_b 5.4018
_cell_length_c 5.4018
_cell_angle_alpha 60.00
_cell_angle_beta 60.00
_cell_angle_gamma 60.00
loop_
_symmetry_equiv_pos_as_xyz
'x,y,z'
loop_
_atom_site_label
_atom_site_type_symbol
_atom_site_fract_x
_atom_site_fract_y
_atom_site_fract_z
Sm1 Sm 0.2500 0.2500 0.2500
Th1 Th 0.7500 0.7500 0.7500
Tm1 Tm 0.0000 0.0000 0.0000
```

Calculated values
- Distance to the lowest polymorph of the same formula: 0.000 eV per atom
- Calculated volume: 37.151 Å³/atom
- DFT formation energy: 0.7736 eV/atom
- Energy: -4.7593 eV/atom

=====

(7)
Computed, not measured: a relaxed SmThU crystal at the GGA-PBE level of DFT.

```
data_SmThU
_chemical_formula_sum 'Sm1 Th1 U1'
_symmetry_space_group_name_H-M 'P 1'
_symmetry_Int_Tables_number 1
_cell_length_a 5.2462
_cell_length_b 5.2462
_cell_length_c 5.2462
_cell_angle_alpha 60.00
_cell_angle_beta 60.00
_cell_angle_gamma 60.00
loop_
_symmetry_equiv_pos_as_xyz
'x,y,z'
loop_
_atom_site_label
_atom_site_type_symbol
_atom_site_fract_x
_atom_site_fract_y
_atom_site_fract_z
Sm1 Sm 0.7500 0.7500 0.7500
Th1 Th 0.2500 0.2500 0.2500
U1 U 0.0000 0.0000 0.0000
```

Calculated values
- Distance to the lowest polymorph of the same formula: 0.000 eV per atom
- Calculated volume: 34.032 Å³/atom
- DFT formation energy: 1.1604 eV/atom
- Energy: -6.6464 eV/atom

=====

(8)
Computed, not measured: a relaxed SmYTh crystal at the GGA-PBE level of DFT.

```
data_SmYTh
_chemical_formula_sum 'Sm1 Y1 Th1'
_symmetry_space_group_name_H-M 'P 1'
_symmetry_Int_Tables_number 1
_cell_length_a 5.4361
_cell_length_b 5.4361
_cell_length_c 5.4361
_cell_angle_alpha 60.00
_cell_angle_beta 60.00
_cell_angle_gamma 60.00
loop_
_symmetry_equiv_pos_as_xyz
'x,y,z'
loop_
_atom_site_label
_atom_site_type_symbol
_atom_site_fract_x
_atom_site_fract_y
_atom_site_fract_z
Sm1 Sm 0.0000 0.0000 0.0000
Th1 Th 0.2500 0.2500 0.2500
Y1 Y 0.7500 0.7500 0.7500
```

Calculated values
- Distance to the lowest polymorph of the same formula: 0.000 eV per atom
- Calculated volume: 37.863 Å³/atom
- DFT formation energy: 0.8245 eV/atom
- Energy: -5.3719 eV/atom